1.
VASP calculation (GGA-PBE) on an optimized crystal structure of Pm4Mn3Ga16.

## Properties
The space group is P4/mmm, No. 123. As for the crystal system: tetragonal. As for the formation energy: -0.43 eV/atom.

POSCAR file:
```
Pm4Mn3Ga16
1.0
6.1609 0.0000 0.0000
0.0000 6.1609 0.0000
0.0000 0.0000 11.4107
Pm Mn Ga
4 3 16
Direct
0.0000 0.5000 0.1916 Pm
0.0000 0.5000 0.8084 Pm
0.5000 0.0000 0.1916 Pm
0.5000 0.0000 0.8084 Pm
0.0000 0.0000 0.0000 Mn
0.0000 0.5000 0.5000 Mn
0.5000 0.0000 0.5000 Mn
0.0000 0.0000 0.2188 Ga
0.0000 0.0000 0.7812 Ga
0.2487 0.2487 0.3829 Ga
0.2487 0.2487 0.6171 Ga
0.2487 0.7513 0.3829 Ga
0.2487 0.7513 0.6171 Ga
0.2842 0.2842 0.0000 Ga
0.2842 0.7158 0.0000 Ga
0.5000 0.5000 0.1926 Ga
0.5000 0.5000 0.8074 Ga
0.7158 0.2842 0.0000 Ga
0.7158 0.7158 0.0000 Ga
0.7513 0.2487 0.3829 Ga
0.7513 0.2487 0.6171 Ga
0.7513 0.7513 0.3829 Ga
0.7513 0.7513 0.6171 Ga
```

2.
VASP calculation (GGA-PBE) on an optimized crystal structure of Rb2CaDyF6.

## Properties
Its formation energy from raw total energies is -75.7 kcal/mol of atoms. The space group is Pmmn, No. 59. As for the crystal system: orthorhombic.

POSCAR file:
```
Rb2CaDyF6
1.0
6.6018 0.0000 0.0000
0.0000 9.0945 0.0000
0.0000 0.0000 6.3918
Rb Ca Dy F
4 2 2 12
Direct
0.2500 0.0115 0.2219 Rb
0.2500 0.4885 0.2219 Rb
0.7500 0.5115 0.7781 Rb
0.7500 0.9885 0.7781 Rb
0.2500 0.2500 0.7323 Ca
0.7500 0.7500 0.2677 Ca
0.2500 0.7500 0.7382 Dy
0.7500 0.2500 0.2618 Dy
0.0050 0.7500 0.0014 F
0.0404 0.2500 0.4406 F
0.2500 0.5051 0.7606 F
0.2500 0.9949 0.7606 F
0.4596 0.2500 0.4406 F
0.4950 0.7500 0.0014 F
0.5050 0.2500 0.9986 F
0.5404 0.7500 0.5594 F
0.7500 0.0051 0.2394 F
0.7500 0.4949 0.2394 F
0.9596 0.7500 0.5594 F
0.9950 0.2500 0.9986 F
```

3.
VASP calculation (GGA-PBE) on an optimized crystal structure of ScPd3Cl.

## Properties
Its formation energy from raw total energies is 9.2 kcal/mol of atoms. The space group is Pm-3m, No. 221. As for the crystal system: cubic.

POSCAR file:
```
ScPd3Cl
1.0
4.8674 0.0000 0.0000
0.0000 4.8674 0.0000
0.0000 0.0000 4.8674
Sc Pd Cl
1 3 1
Direct
0.0000 0.0000 0.0000 Sc
0.0000 0.0000 0.5000 Pd
0.0000 0.5000 0.0000 Pd
0.5000 0.0000 0.0000 Pd
0.5000 0.5000 0.5000 Cl
```

4.
VASP calculation (GGA-PBE) on an optimized crystal structure of AcPm2Nd12.

## Properties
The space group is Cmme, No. 67. As for the crystal system: orthorhombic. As for the formation energy: 0.15 eV/atom.

POSCAR file:
```
AcPm2Nd12
1.0
3.6292 -5.8817 0.0000
3.6292 5.8817 0.0000
0.0000 0.0000 25.5179
Ac Pm Nd
2 4 24
Direct
0.2500 0.7500 0.9907 Ac
0.7500 0.2500 0.0093 Ac
0.2500 0.7500 0.2706 Pm
0.2500 0.7500 0.7229 Pm
0.7500 0.2500 0.2771 Pm
0.7500 0.2500 0.7294 Pm
0.0073 0.5073 0.8633 Nd
0.0153 0.9847 0.0805 Nd
0.0204 0.5204 0.4187 Nd
0.0247 0.9753 0.5591 Nd
0.2500 0.2500 0.2030 Nd
0.2500 0.2500 0.3285 Nd
0.2500 0.2500 0.6715 Nd
0.2500 0.2500 0.7970 Nd
0.4753 0.5247 0.5591 Nd
0.4796 0.9796 0.4187 Nd
0.4847 0.5153 0.0805 Nd
0.4927 0.9927 0.8633 Nd
0.5073 0.0073 0.1367 Nd
0.5153 0.4847 0.9195 Nd
0.5204 0.0204 0.5813 Nd
0.5247 0.4753 0.4409 Nd
0.7500 0.7500 0.2030 Nd
0.7500 0.7500 0.3285 Nd
0.7500 0.7500 0.6715 Nd
0.7500 0.7500 0.7970 Nd
0.9753 0.0247 0.4409 Nd
0.9796 0.4796 0.5813 Nd
0.9847 0.0153 0.9195 Nd
0.9927 0.4927 0.1367 Nd
```

5.
VASP calculation (GGA-PBE) on an optimized crystal structure of NaTlOs2.

## Properties
The space group is Fm-3m, No. 225. As for the crystal system: cubic. As for the formation energy: 1.47 eV/atom.

POSCAR file:
```
NaTlOs2
1.0
6.5294 0.0000 0.0000
0.0000 6.5294 0.0000
0.0000 0.0000 6.5294
Na Tl Os
4 4 8
Direct
0.0000 0.0000 0.0000 Na
0.0000 0.5000 0.5000 Na
0.5000 0.0000 0.5000 Na
0.5000 0.5000 0.0000 Na
0.0000 0.0000 0.5000 Tl
0.0000 0.5000 0.0000 Tl
0.5000 0.0000 0.0000 Tl
0.5000 0.5000 0.5000 Tl
0.2500 0.2500 0.2500 Os
0.2500 0.2500 0.7500 Os
0.2500 0.7500 0.2500 Os
0.2500 0.7500 0.7500 Os
0.7500 0.2500 0.2500 Os
0.7500 0.2500 0.7500 Os
0.7500 0.7500 0.2500 Os
0.7500 0.7500 0.7500 Os
```

6.
VASP calculation (GGA-PBE) on an optimized crystal structure of Er2Re2Si2B.

## Properties
Its formation energy from raw total energies is -14.2 kcal/mol of atoms. The space group is C2/m, No. 12. As for the crystal system: monoclinic.

POSCAR file:
```
Er2Re2Si2B
1.0
10.8175 0.0000 0.0000
0.0000 4.0318 0.0000
-4.0384 0.0000 5.5522
Er Re Si B
4 4 4 2
Direct
0.0766 0.0000 0.3039 Er
0.4234 0.5000 0.6961 Er
0.5766 0.5000 0.3039 Er
0.9234 0.0000 0.6961 Er
0.2166 0.5000 0.0936 Re
0.2834 0.0000 0.9064 Re
0.7166 0.0000 0.0936 Re
0.7834 0.5000 0.9064 Re
0.1369 0.5000 0.6718 Si
0.3631 0.0000 0.3282 Si
0.6369 0.0000 0.6718 Si
0.8631 0.5000 0.3282 Si
0.0000 0.5000 0.0000 B
0.5000 0.0000 0.0000 B
```

7.
VASP calculation (GGA-PBE) on an optimized crystal structure of Pa5P4C.

## Properties
The space group is I4/m, No. 87. As for the crystal system: tetragonal. As for the formation energy: -1.10 eV/atom.

POSCAR file:
```
Pa5P4C
1.0
-4.3475 4.3475 2.7724
4.3475 -4.3475 2.7724
4.3475 4.3475 -2.7724
Pa P C
5 4 1
Direct
0.0000 0.0000 0.0000 Pa
0.2194 0.4048 0.6242 Pa
0.4048 0.7806 0.1855 Pa
0.5952 0.2194 0.8145 Pa
0.7806 0.5952 0.3758 Pa
0.0924 0.6968 0.7892 P
0.3032 0.0924 0.3956 P
0.6968 0.9076 0.6044 P
0.9076 0.3032 0.2108 P
0.5000 0.5000 0.0000 C
```

8.
VASP calculation (GGA-PBE) on an optimized crystal structure of YZn2Cl.

## Properties
Its formation energy from raw total energies is -12.4 kcal/mol of atoms. The space group is Cm, No. 8. As for the crystal system: monoclinic.

POSCAR file:
```
YZn2Cl
1.0
9.6180 0.0000 0.0000
0.0000 3.6039 0.0000
-1.5788 0.0000 5.0799
Y Zn Cl
2 4 2
Direct
0.0000 0.0000 0.0000 Y
0.5000 0.5000 0.0000 Y
0.0016 0.5000 0.5415 Zn
0.2601 0.5000 0.4450 Zn
0.5016 0.0000 0.5415 Zn
0.7601 0.0000 0.4450 Zn
0.2783 0.0000 0.9841 Cl
0.7783 0.5000 0.9841 Cl
```

9.
VASP calculation (GGA-PBE) on an optimized crystal structure of Co2HPdAu.

## Properties
The space group is P4/mmm, No. 123. The calculation puts the uncorrected energy at -24.9 eV per cell. As for the crystal system: tetragonal.

POSCAR file:
```
Co2HPdAu
1.0
3.8343 0.0000 0.0000
0.0000 3.8343 0.0000
0.0000 0.0000 3.9599
Co H Pd Au
2 1 1 1
Direct
0.0000 0.5000 0.0000 Co
0.5000 0.0000 0.0000 Co
0.0000 0.0000 0.0000 H
0.5000 0.5000 0.5000 Pd
0.0000 0.0000 0.5000 Au
```

10.
VASP calculation (GGA-PBE) on an optimized crystal structure of VRhS.

## Properties
Its formation energy from raw total energies is -6.1 kcal/mol of atoms. The space group is P2_1/m, No. 11. As for the crystal system: monoclinic.

POSCAR file:
```
VRhS
1.0
2.9212 0.0000 0.0000
0.0000 3.7068 0.0000
-0.0156 0.0000 8.8178
V Rh S
2 2 2
Direct
0.2504 0.2500 0.0688 V
0.7496 0.7500 0.9312 V
0.2487 0.2500 0.7762 Rh
0.7513 0.7500 0.2238 Rh
0.2519 0.2500 0.3274 S
0.7481 0.7500 0.6726 S
```

11.
VASP calculation (GGA-PBE) on an optimized crystal structure of SrHoRe2O8.

## Properties
Its formation energy from raw total energies is -47.8 kcal/mol of atoms. The space group is P-3m1, No. 164. As for the crystal system: trigonal.

POSCAR file:
```
SrHoRe2O8
1.0
5.9348 0.0000 0.0000
-2.9674 5.1397 0.0000
0.0000 0.0000 7.1341
Sr Ho Re O
1 1 2 8
Direct
0.0000 0.0000 0.0000 Sr
0.0000 0.0000 0.5000 Ho
0.3333 0.6667 0.7879 Re
0.6667 0.3333 0.2121 Re
0.1625 0.3251 0.7092 O
0.1625 0.8375 0.7092 O
0.3251 0.1625 0.2908 O
0.3333 0.6667 0.0385 O
0.6667 0.3333 0.9615 O
0.6749 0.8375 0.7092 O
0.8375 0.1625 0.2908 O
0.8375 0.6749 0.2908 O
```

| no. | ρ (g/cm3) | N(E_F) (states/eV/cell) |
| --- | --- | --- |
| 1 | 7.133 | 10.3 |
| 2 | 4.219 | 4.1 |
| 3 | 5.755 | 0.3 |
| 4 | 6.853 | 42.5 |
| 5 | 14.504 | 16.7 |
| 6 | 10.614 | 7.1 |
| 7 | 10.228 | 10.1 |
| 8 | 4.813 | 2.3 |
| 9 | 12.044 | 5.7 |
| 10 | 6.466 | 5.8 |
| 11 | 5.746 | 7.8 |